A geometry-optimized ReAs2Pt structure, computed with GGA-PBE.

It has space group Cmm2 (No. 35), with a = 2.8893 Å, b = 4.8875 Å, c = 10.1926 Å, α = 90.00°, β = 90.00° and γ = 90.00°. The distinct sites, in fractional coordinates, are Re at (0.0000, 0.0000, 0.0000), As at (0.0000, 0.0000, 0.5521), As at (0.0000, 0.5000, 0.2087) and Pt at (0.0000, 0.5000, 0.7691).

As for the density: 12.255 Mg/m³. The formation energy comes out at 0.30 eV/atom. As for the energy relative to the lowest polymorph listed for this composition: 0.208 eV/atom.

=====

A geometry-optimized Sr3InGe2 structure, computed with GGA-PBE.

It has space group Pnma (No. 62), with a = 12.7750 Å, b = 4.6149 Å, c = 13.2421 Å, α = 90.00°, β = 90.00° and γ = 90.00°. The distinct sites, in fractional coordinates, are Sr at (0.0686, 0.2500, 0.1118), Sr at (0.1282, 0.7500, 0.5564), Sr at (0.1872, 0.2500, 0.8106), In at (0.1387, 0.2500, 0.3540), Ge at (0.0242, 0.7500, 0.3200) and Ge at (0.1917, 0.7500, 0.9884).

As for the density: 4.449 Mg/m³. The formation energy comes out at -0.49 eV/atom.

=====

A geometry-optimized Li3Tb2BiSe6 structure, computed with GGA-PBE.

It has space group C2/m (No. 12), with a = 7.1209 Å, b = 12.3372 Å, c = 6.9509 Å, α = 90.00°, β = 109.99° and γ = 90.00°. The distinct sites, in fractional coordinates, are Li at (0.0000, 0.0000, 0.0000), Li at (0.0000, 0.3405, 0.0000), Tb at (0.0000, 0.1674, 0.5000), Bi at (0.0000, 0.5000, 0.5000), Se at (0.2445, 0.1694, 0.2428) and Se at (0.2465, 0.0000, 0.7569).

As for the density: 5.911 Mg/m³. As for the formation energy (no corrections): -1.3697 eV/atom.

=====

A geometry-optimized Pr6SnP4 structure, computed with GGA-PBE.

It has space group Cmcm (No. 63), with a = 4.2184 Å, b = 13.9168 Å, c = 21.5203 Å, α = 90.00°, β = 90.00° and γ = 90.00°. The distinct sites, in fractional coordinates, are Pr at (0.0000, 0.0000, 0.0000), Pr at (0.0000, 0.1647, 0.2500), Pr at (0.0000, 0.2731, 0.5813), Pr at (0.0000, 0.4586, 0.1577), Sn at (0.0000, 0.1625, 0.7500), P at (0.0000, 0.0912, 0.1247) and P at (0.0000, 0.3623, 0.0412).

As for the density: 5.720 Mg/m³. The formation energy comes out at -1.29 eV/atom.

=====

A geometry-optimized MnTeSe2Cl structure, computed with GGA-PBE.

It has space group P4/mmm (No. 123), with a = 5.4438 Å, b = 5.4438 Å, c = 5.0853 Å, α = 90.00°, β = 90.00° and γ = 90.00°. The distinct sites, in fractional coordinates, are Mn at (0.0000, 0.0000, 0.0000), Te at (0.5000, 0.5000, 0.5000), Se at (0.0000, 0.5000, 0.5000) and Cl at (0.5000, 0.5000, 0.0000).

As for the density: 4.142 Mg/m³. As for the formation energy (no corrections): 0.4383 eV/atom. As for the energy relative to the lowest polymorph listed for this composition: 0.000 eV/atom.

=====

A geometry-optimized TmS6I2 structure, computed with GGA-PBE.

It has space group P-1 (No. 2), with a = 4.3424 Å, b = 8.8097 Å, c = 9.1256 Å, α = 117.92°, β = 92.88° and γ = 92.37°. The distinct sites, in fractional coordinates, are Tm at (0.0000, 0.0000, 0.0000), S at (0.0895, 0.5075, 0.7250), S at (0.0934, 0.7094, 0.4648), S at (0.1290, 0.2943, 0.2919) and I at (0.4975, 0.8672, 0.1407).

As for the density: 3.324 Mg/m³. As for the formation energy (no corrections): -0.4054 eV/atom.

=====

A geometry-optimized Al2Se2S structure, computed with GGA-PBE.

It has space group C2/m (No. 12), with a = 21.5406 Å, b = 3.6987 Å, c = 6.3788 Å, α = 90.00°, β = 91.12° and γ = 90.00°. The distinct sites, in fractional coordinates, are Al at (0.1318, 0.0000, 0.3880), Al at (0.1728, 0.5000, 0.9704), Se at (0.0789, 0.5000, 0.2245), Se at (0.1236, 0.0000, 0.7570) and S at (0.2198, 0.0000, 0.1862).

As for the density: 3.189 Mg/m³. As for the formation energy (no corrections): -0.8828 eV/atom.

=====

A geometry-optimized NbMo3W3 structure, computed with GGA-PBE.

It has space group R-3 (No. 148, hexagonal axes), with a = 7.5223 Å, b = 7.5223 Å, c = 16.1906 Å, α = 90.00°, β = 90.00° and γ = 120.00°. The distinct sites, in fractional coordinates, are Nb at (0.0000, 0.0000, 0.1648), Mo at (0.0004, 0.3243, 0.4445) and W at (0.0040, 0.6592, 0.3828).

As for the density: 11.707 Mg/m³. The formation energy comes out at 0.71 eV/atom. As for the energy relative to the lowest polymorph listed for this composition: 0.284 eV/atom.

=====

Q: Look up the density of the second one.
A: 4.449 Mg/m³

=====

Q: Which formula does entry 5 have?
A: MnTeSe2Cl